Here is an optimized crystal structure of CaLuGaPd from Alexandria. Energies are from PBE-GGA.

Computed properties:
calculated formation energy	-0.6164	eV per atom
calculated density	7.42	g/cm³
size of the total moment	0.002	Bohr magnetons per cell
VASP energy	-4.3019	eV/atom

Cell lengths 7.0474, 7.0474, 7.0474 Å; angles 90.00, 90.00, 90.00 degrees
Last column: nearest neighbours and their distance in Å.
Atoms (fractional coordinates):
Ca 0.0000 0.0000 0.0000  4 Pd 3.05, 4 Ga 3.05
Ca 0.0000 0.5000 0.5000  4 Pd 3.05, 4 Ga 3.05
Ca 0.5000 0.0000 0.5000  4 Pd 3.05, 4 Ga 3.05
Ca 0.5000 0.5000 0.0000  4 Pd 3.05, 4 Ga 3.05
Lu 0.0000 0.0000 0.5000  4 Pd 3.05, 4 Ga 3.05
Lu 0.0000 0.5000 0.0000  4 Pd 3.05, 4 Ga 3.05
Lu 0.5000 0.0000 0.0000  4 Pd 3.05, 4 Ga 3.05
Lu 0.5000 0.5000 0.5000  4 Pd 3.05, 4 Ga 3.05
Ga 0.2500 0.2500 0.2500  4 Ca 3.05, 4 Lu 3.05
Ga 0.2500 0.7500 0.7500  4 Lu 3.05, 4 Ca 3.05
Ga 0.7500 0.2500 0.7500  4 Lu 3.05, 4 Ca 3.05
Ga 0.7500 0.7500 0.2500  4 Lu 3.05, 4 Ca 3.05
Pd 0.2500 0.2500 0.7500  4 Ca 3.05, 4 Lu 3.05
Pd 0.2500 0.7500 0.2500  4 Ca 3.05, 4 Lu 3.05
Pd 0.7500 0.2500 0.2500  4 Ca 3.05, 4 Lu 3.05
Pd 0.7500 0.7500 0.7500  4 Ca 3.05, 4 Lu 3.05